# 1
An optimized crystal structure of CoSnPb2I, computed with PBE.

## Properties
Its space group is No. 123.

abc: 5.964 5.851 5.964
angles: 90.00 90.00 90.00
Site moments in Bohr magnetons follow the coordinates.
Sites, in units of the cell vectors:
1 Pb 0.000 0.000 0.500  -0.03
2 Pb 0.500 0.000 0.000  -0.01
3 I 0.000 0.000 0.000  -0.01
4 Co 0.500 0.500 0.500  2.16
5 Sn 0.000 0.500 0.000  -0.03


# 2
An optimized crystal structure of TaCo2PbI, computed with PBE.

## Properties
Its space group is No. 123.

abc: 4.566 5.207 4.566
angles: 90.00 90.00 90.00
Site moments in Bohr magnetons follow the coordinates.
Sites, in units of the cell vectors:
1 Pb 0.500 0.500 0.500  -0.01
2 I 0.000 0.000 0.000  -0.01
3 Co 0.000 0.000 0.500  0.47
4 Co 0.500 0.000 0.000  0.48
5 Ta 0.000 0.500 0.000  -0.16


# 3
An optimized crystal structure of VCoPb2I, computed with PBE.

## Properties
Its space group is No. 123.

abc: 6.038 4.836 6.038
angles: 90.00 90.00 90.00
Site moments in Bohr magnetons follow the coordinates.
Sites, in units of the cell vectors:
1 Pb 0.000 0.000 0.500  0.01
2 Pb 0.500 0.000 0.000  0.04
3 I 0.000 0.000 0.000  0.02
4 Co 0.500 0.500 0.500  2.11
5 V 0.000 0.500 0.000  -0.49


# 4
An optimized crystal structure of CoPdI3, computed with PBE.

## Properties
Its space group is No. 221. The energy above the most stable polymorph in this dataset is 0.0000 eV/atom.

abc: 5.303 5.303 5.303
angles: 90.00 90.00 90.00
Site moments in Bohr magnetons follow the coordinates.
Sites, in units of the cell vectors:
1 I 0.000 0.500 0.000  0.14
2 I 0.000 0.000 0.500  0.07
3 I 0.500 0.000 0.000  0.16
4 Co 0.000 0.000 0.000  1.37
5 Pd 0.500 0.500 0.500  0.48


# 5
An optimized crystal structure of Co2PdI8, computed with PBE.

## Properties
Its space group is No. 12.

abc: 9.233 7.626 9.893
angles: 106.69 90.00 127.25
Site moments in Bohr magnetons follow the coordinates.
Sites, in units of the cell vectors:
1 Co 0.892 0.784 0.607  1.56
2 Co 0.108 0.216 0.393  1.56
3 Pd 0.000 0.000 0.000  0.02
4 I 0.873 0.156 0.198  0.09
5 I 0.283 0.156 0.198  0.09
6 I 0.127 0.844 0.802  0.09
7 I 0.330 0.659 0.484  0.03
8 I 0.717 0.844 0.802  0.09
9 I 0.883 0.766 0.346  0.03
10 I 0.117 0.234 0.654  0.03
11 I 0.670 0.341 0.516  0.03


# 6
An optimized crystal structure of Co3PdI, computed with PBE.

## Properties
Its space group is No. 221. The energy above the most stable polymorph in this dataset is 0.0000 eV/atom.

abc: 4.686 4.686 4.686
angles: 90.00 90.00 90.00
Site moments in Bohr magnetons follow the coordinates.
Sites, in units of the cell vectors:
1 I 0.500 0.500 0.500  0.06
2 Co 0.000 0.500 0.000  2.07
3 Co 0.000 0.000 0.500  2.47
4 Co 0.500 0.000 0.000  1.31
5 Pd 0.000 0.000 0.000  0.41


# 7
An optimized crystal structure of Co2PdI, computed with PBE.

## Properties
Its space group is No. 225. The energy above the most stable polymorph in this dataset is 0.0000 eV/atom.

abc: 4.421 4.421 4.421
angles: 60.00 60.00 60.00
Site moments in Bohr magnetons follow the coordinates.
Sites, in units of the cell vectors:
1 I 0.500 0.500 0.500  0.05
2 Co 0.250 0.250 0.250  1.49
3 Co 0.750 0.750 0.750  1.49
4 Pd 0.000 0.000 0.000  0.14


# 8
An optimized crystal structure of CoPd2I, computed with PBE.

## Properties
Its space group is No. 122. The energy above the most stable polymorph in this dataset is 0.0000 eV/atom.

abc: 3.899 3.899 9.835
angles: 78.57 78.57 90.00
Site moments in Bohr magnetons follow the coordinates.
Sites, in units of the cell vectors:
1 I 0.000 0.000 0.000  0.06
2 I 0.750 0.250 0.500  0.06
3 Co 0.500 0.500 0.000  1.71
4 Co 0.250 0.750 0.500  1.70
5 Pd 0.615 0.125 0.250  0.13
6 Pd 0.135 0.625 0.250  0.13
7 Pd 0.375 0.385 0.750  0.12
8 Pd 0.875 0.865 0.750  0.13


# 9
An optimized crystal structure of CoPd2I, computed with PBE.

## Properties
Its space group is No. 225. The energy above the most stable polymorph in this dataset is 0.0577 eV/atom.

abc: 4.614 4.614 4.614
angles: 60.00 60.00 60.00
Site moments in Bohr magnetons follow the coordinates.
Sites, in units of the cell vectors:
1 I 0.500 0.500 0.500  0.09
2 Co 0.000 0.000 0.000  1.94
3 Pd 0.250 0.250 0.250  0.17
4 Pd 0.750 0.750 0.750  0.17


# 10
An optimized crystal structure of Co2PdI, computed with PBE.

## Properties
Its space group is No. 122. The energy above the most stable polymorph in this dataset is 0.2313 eV/atom.

abc: 5.813 5.813 6.906
angles: 65.11 65.11 90.00
Site moments in Bohr magnetons follow the coordinates.
Sites, in units of the cell vectors:
1 I 0.000 0.000 0.000  0.13
2 I 0.750 0.250 0.500  0.13
3 Co 0.598 0.125 0.250  1.99
4 Co 0.152 0.625 0.250  2.01
5 Co 0.375 0.402 0.750  2.08
6 Co 0.875 0.848 0.750  2.07
7 Pd 0.500 0.500 0.000  0.59
8 Pd 0.250 0.750 0.500  0.59


# 11
An optimized crystal structure of Pm8CoPd3I4, computed with PBE.

## Properties
Its space group is No. 166.

abc: 8.400 9.395 8.399
angles: 116.57 120.00 90.00
Sites, in units of the cell vectors:
1 Pm 0.220 0.685 0.966
2 Pm 0.220 0.685 0.439
3 Pm 0.270 0.311 0.540
4 Pm 0.746 0.685 0.966
5 Pm 0.254 0.315 0.034
6 Pm 0.730 0.689 0.460
7 Pm 0.780 0.315 0.561
8 Pm 0.780 0.315 0.034
9 Co 0.000 0.500 0.000
10 Pd 0.500 0.500 0.000
11 Pd 0.500 0.500 0.500
12 Pd 0.000 0.500 0.500
13 I 0.500 0.000 0.000
14 I 0.500 0.000 0.500
15 I 0.000 0.000 0.000
16 I 0.000 0.000 0.500


# 12
An optimized crystal structure of Pm6Co2PdI3, computed with PBE.

## Properties
Its space group is No. 12.

abc: 4.105 9.361 10.202
angles: 112.22 101.61 90.00
Sites, in units of the cell vectors:
1 Pm 0.340 0.863 0.681
2 Pm 0.683 0.549 0.365
3 Pm 0.660 0.137 0.319
4 Pm 0.024 0.230 0.047
5 Pm 0.976 0.770 0.953
6 Pm 0.317 0.451 0.635
7 Co 0.832 0.662 0.663
8 Co 0.168 0.338 0.337
9 Pd 0.500 0.000 0.000
10 I 0.500 0.500 0.000
11 I 0.835 0.165 0.671
12 I 0.165 0.835 0.329


# 13
An optimized crystal structure of Pr6CoPd2I3, computed with PBE.

## Properties
Its space group is No. 12.

abc: 7.359 7.359 8.503
angles: 98.29 98.29 120.02
Sites, in units of the cell vectors:
1 Pr 0.938 0.624 0.814
2 Pr 0.748 0.748 0.186
3 Pr 0.062 0.376 0.186
4 Pr 0.624 0.938 0.814
5 Pr 0.252 0.252 0.814
6 Pr 0.376 0.062 0.186
7 Co 0.000 0.000 0.000
8 Pd 0.333 0.667 0.000
9 Pd 0.667 0.333 0.000
10 I 0.167 0.833 0.500
11 I 0.833 0.167 0.500
12 I 0.500 0.500 0.500


# 14
An optimized crystal structure of RbCoPdI2, computed with PBE.

## Properties
Its space group is No. 123.

abc: 5.707 4.884 5.707
angles: 90.00 90.00 90.00
Site moments in Bohr magnetons follow the coordinates.
Sites, in units of the cell vectors:
1 I 0.000 0.000 0.500  0.03
2 I 0.500 0.000 0.000  0.01
3 Co 0.000 0.500 0.000  2.17
4 Rb 0.500 0.500 0.500  0.00
5 Pd 0.000 0.000 0.000  0.13


# 15
An optimized crystal structure of Rb2CoPdI6, computed with PBE.

## Properties
Its space group is No. 139.

abc: 7.950 7.950 7.949
angles: 60.00 60.00 90.00
Site moments in Bohr magnetons follow the coordinates.
Sites, in units of the cell vectors:
1 I 0.255 0.255 0.490  0.00
2 I 0.745 0.745 0.510  0.00
3 I 0.252 0.252 0.000  0.01
4 I 0.748 0.748 0.000  0.01
5 I 0.748 0.252 0.000  0.01
6 I 0.252 0.748 0.000  0.01
7 Co 0.500 0.500 0.000  1.85
8 Rb 0.750 0.250 0.500  0.00
9 Rb 0.250 0.750 0.500  0.00
10 Pd 0.000 0.000 0.000  -0.27


# 16
An optimized crystal structure of CoRePd2I, computed with PBE.

## Properties
Its space group is No. 123.

abc: 4.867 5.001 4.867
angles: 90.00 90.00 90.00
Site moments in Bohr magnetons follow the coordinates.
Sites, in units of the cell vectors:
1 I 0.000 0.000 0.000  0.02
2 Re 0.000 0.500 0.000  2.12
3 Co 0.500 0.500 0.500  2.16
4 Pd 0.000 0.000 0.500  0.09
5 Pd 0.500 0.000 0.000  0.10


# 17
An optimized crystal structure of CoPd2SeI, computed with PBE.

## Properties
Its space group is No. 123.

abc: 4.984 4.223 4.984
angles: 90.00 90.00 90.00
Site moments in Bohr magnetons follow the coordinates.
Sites, in units of the cell vectors:
1 I 0.500 0.500 0.500  -0.01
2 Co 0.000 0.000 0.000  0.95
3 Se 0.000 0.500 0.000  -0.01
4 Pd 0.000 0.000 0.500  0.14
5 Pd 0.500 0.000 0.000  0.07


# 18
An optimized crystal structure of Sm8CoPd3I4, computed with PBE.

## Properties
Its space group is No. 166.

abc: 8.363 9.354 8.362
angles: 116.55 120.01 90.00
Sites, in units of the cell vectors:
1 Sm 0.219 0.684 0.965
2 Sm 0.219 0.684 0.438
3 Sm 0.270 0.311 0.541
4 Sm 0.746 0.684 0.965
5 Sm 0.254 0.316 0.035
6 Sm 0.730 0.689 0.459
7 Sm 0.781 0.316 0.562
8 Sm 0.781 0.316 0.035
9 Co 0.000 0.500 0.000
10 Pd 0.500 0.500 0.000
11 Pd 0.500 0.500 0.500
12 Pd 0.000 0.500 0.500
13 I 0.500 0.000 0.000
14 I 0.500 0.000 0.500
15 I 0.000 0.000 0.000
16 I 0.000 0.000 0.500


# 19
An optimized crystal structure of Sm6Co2PdI3, computed with PBE.

## Properties
Its space group is No. 12.

abc: 7.091 7.091 8.353
angles: 98.13 98.13 120.00
Sites, in units of the cell vectors:
1 Sm 0.939 0.586 0.817
2 Sm 0.708 0.708 0.182
3 Sm 0.061 0.414 0.183
4 Sm 0.586 0.939 0.817
5 Sm 0.292 0.292 0.818
6 Sm 0.414 0.061 0.183
7 Co 0.333 0.667 0.000
8 Co 0.667 0.333 0.000
9 Pd 0.000 0.000 0.000
10 I 0.166 0.834 0.500
11 I 0.834 0.166 0.500
12 I 0.500 0.500 0.500


# 20
An optimized crystal structure of CoTePdI2, computed with PBE.

## Properties
Its space group is No. 123. The energy above the most stable polymorph in this dataset is 0.0000 eV/atom.

abc: 5.395 5.395 4.764
angles: 90.00 90.00 90.00
Sites, in units of the cell vectors:
1 I 0.000 0.500 0.000
2 I 0.500 0.000 0.000
3 Te 0.000 0.000 0.500
4 Co 0.000 0.000 0.000
5 Pd 0.500 0.500 0.500


# 21
An optimized crystal structure of CoTe2PdI, computed with PBE.

## Properties
Its space group is No. 123. The energy above the most stable polymorph in this dataset is 0.2780 eV/atom.

abc: 5.288 5.288 5.428
angles: 90.00 90.00 90.00
Site moments in Bohr magnetons follow the coordinates.
Sites, in units of the cell vectors:
1 I 0.000 0.000 0.500  0.11
2 Te 0.000 0.500 0.000  0.14
3 Te 0.500 0.000 0.000  0.14
4 Co 0.500 0.500 0.500  2.22
5 Pd 0.000 0.000 0.000  0.03


# 22
An optimized crystal structure of CoTe2PdI, computed with PBE.

## Properties
Its space group is No. 123. The energy above the most stable polymorph in this dataset is 0.0000 eV/atom.

abc: 4.905 4.905 5.454
angles: 90.00 90.00 90.00
Sites, in units of the cell vectors:
1 I 0.000 0.000 0.500
2 Te 0.000 0.500 0.000
3 Te 0.500 0.000 0.000
4 Co 0.000 0.000 0.000
5 Pd 0.500 0.500 0.500


# 23
An optimized crystal structure of Pm3CoI2, computed with PBE.

## Properties
Its space group is No. 71.

abc: 3.938 6.137 8.368
angles: 111.51 103.61 90.00
Site moments in Bohr magnetons follow the coordinates.
Sites, in units of the cell vectors:
1 Pm 0.616 0.616 0.233  0.02
2 Pm 0.000 0.000 0.000  0.13
3 Pm 0.384 0.384 0.767  0.02
4 Co 0.000 0.500 0.000  0.00
5 I 0.317 0.817 0.633  0.00
6 I 0.683 0.183 0.367  0.00


# 24
An optimized crystal structure of Pm4Co2I5, computed with PBE.

## Properties
Its space group is No. 71. The energy above the most stable polymorph in this dataset is 0.0270 eV/atom.

abc: 4.193 8.827 11.183
angles: 113.25 100.81 90.00
Sites, in units of the cell vectors:
1 Pm 0.672 0.672 0.344
2 Pm 0.000 0.299 0.000
3 Pm 0.328 0.328 0.656
4 Pm 0.000 0.701 0.000
5 Co 0.552 0.552 0.105
6 Co 0.448 0.448 0.895
7 I 0.165 0.391 0.330
8 I 0.835 0.609 0.670
9 I 0.165 0.939 0.330
10 I 0.500 0.000 0.000
11 I 0.835 0.061 0.670


Calculated values (meV per atom) of energy relative to the elements, uncorrected for the records, taken in order: 1374; 1423; 1697; 602; -28; 1291; 651; 443; 501; 882; -812; -693; -791; -6; -574; 1901; 487; -810; -699; 603; 868; 590; -677; -748.
Calculated values (states/eV/atom) of DOS at the Fermi energy for the records, taken in order: 0.487; 1.101; 1.083; 3.032; 0.382; 2.244; 1.730; 1.101; 0.964; 0.978; 0.685; 0.495; 0.679; 1.308; 1.941; 1.242; 1.006; 0.672; 0.506; 1.656; 2.732; 1.394; 0.698; 0.571.